Record 1
First-principles (PBE) data for a relaxed EuY2Ga crystal, as listed in the Alexandria database.

Structure (POSCAR):
```
EuY2Ga
1.0
3.566 0.000 0.000
0.000 3.566 0.000
0.000 0.000 9.377
Eu Y Ga
1 2 1
direct
0.500 0.500 0.500
0.000 0.000 0.193
0.000 0.000 0.807
0.500 0.500 0.000
```

space group = No. 123
total magnetic moment = 7.5 μB/cell
crystal system = tetragonal
theoretical density = 5.6 g/cm3
E_tot = -27.2 eV per cell
formation energy from the elements = -0.253 eV per atom
E above lowest polymorph = 0 meV per atom

Record 2
First-principles (PBE) data for a relaxed AsIrSe2S crystal, as listed in the Alexandria database.

Structure (POSCAR):
```
AsIrSe2S
1.0
-3.048 -2.706 2.228
1.971 -3.765 -1.875
2.955 -0.290 3.689
S Se As Ir
1 2 1 1
direct
0.000 0.000 0.000
0.500 0.000 0.000
0.000 0.500 0.000
0.000 0.000 0.500
0.500 0.500 0.500
```

space group = No. 123
total magnetic moment = 0.0 μB/cell
crystal system = tetragonal
formation energy without anion corrections = 1.22 eV/atom
theoretical density = 7.4 g/cm3
E_tot = -18.5 eV per cell
E above lowest polymorph = 437 meV per atom

Record 3
First-principles (PBE) data for a relaxed Cd7Te6 crystal, as listed in the Alexandria database.

Structure (POSCAR):
```
Cd7Te6
1.0
-7.862 -7.558 -3.041
-5.372 -9.513 2.971
-10.015 -4.561 2.664
Te Cd
6 7
direct
0.641 0.641 0.641
0.823 0.823 0.823
0.359 0.359 0.359
0.177 0.177 0.177
0.084 0.084 0.084
0.916 0.916 0.916
0.401 0.401 0.950
0.050 0.599 0.599
0.500 0.500 0.500
0.599 0.050 0.599
0.401 0.950 0.401
0.950 0.401 0.401
0.599 0.599 0.050
```

space group = No. 166
total magnetic moment = 0.0 μB/cell
crystal system = trigonal
formation energy without anion corrections = -0.06 eV/atom
theoretical density = 6.1 g/cm3
E_tot = -26.0 eV per cell

Record 4
First-principles (PBE) data for a relaxed Pr3Sm12Cd crystal, as listed in the Alexandria database.

Structure (POSCAR):
```
Pr3Sm12Cd
1.0
5.094 0.000 0.000
0.000 5.094 0.000
0.000 0.000 20.556
Sm Pr Cd
12 3 1
direct
0.000 0.500 0.627
0.500 0.000 0.120
0.500 0.500 0.500
0.500 0.000 0.880
0.000 0.500 0.373
0.500 0.000 0.627
0.500 0.500 0.000
0.500 0.500 0.757
0.000 0.500 0.880
0.500 0.000 0.373
0.500 0.500 0.243
0.000 0.500 0.120
0.000 0.000 0.754
0.000 0.000 0.246
0.000 0.000 0.500
0.000 0.000 0.000
```

space group = No. 123
total magnetic moment = 0.0 μB/cell
crystal system = tetragonal
theoretical density = 7.3 g/cm3
E_tot = -72.0 eV per cell
formation energy from the elements = -0.004 eV per atom

Record 5
First-principles (PBE) data for a relaxed PmTlInPd crystal, as listed in the Alexandria database.

Structure (POSCAR):
```
PmTlInPd
1.0
5.109 0.000 0.000
2.555 4.425 0.000
2.555 1.475 4.172
Tl In Pd Pm
1 1 1 1
direct
0.750 0.750 0.750
0.000 0.000 0.000
0.250 0.250 0.250
0.500 0.500 0.500
```

space group = No. 216
total magnetic moment = 0.0 μB/cell
crystal system = cubic
theoretical density = 10.0 g/cm3
E_tot = -16.8 eV per cell
formation energy from the elements = -0.444 eV per atom

Record 6
First-principles (PBE) data for a relaxed CaTiI2O crystal, as listed in the Alexandria database.

Structure (POSCAR):
```
CaTiI2O
1.0
6.045 0.000 0.000
0.000 6.045 0.000
0.000 0.000 4.113
O I Ca Ti
1 2 1 1
direct
0.000 0.000 0.500
0.500 0.000 0.000
0.000 0.500 0.000
0.000 0.000 0.000
0.500 0.500 0.500
```

space group = No. 123
total magnetic moment = 2.8 μB/cell
crystal system = tetragonal
formation energy without anion corrections = -0.47 eV/atom
theoretical density = 4.0 g/cm3
E_tot = -20.3 eV per cell
E above lowest polymorph = 859 meV per atom

Record 7
First-principles (PBE) data for a relaxed Tb5Tm2Sc crystal, as listed in the Alexandria database.

Structure (POSCAR):
```
Tb5Tm2Sc
1.0
6.841 -0.512 -2.028
-3.929 5.623 -2.032
0.111 0.199 6.620
Tb Tm Sc
5 2 1
direct
0.816 0.234 0.000
0.321 0.740 0.000
0.738 0.818 0.500
0.321 0.235 0.000
0.237 0.318 0.500
0.739 0.325 0.509
0.230 0.817 0.491
0.820 0.736 0.000
```

space group = No. 42
total magnetic moment = 0.0 μB/cell
crystal system = orthorhombic
theoretical density = 7.9 g/cm3
E_tot = -38.3 eV per cell
formation energy from the elements = 0.014 eV per atom
E above lowest polymorph = 0 meV per atom

Record 8
First-principles (PBE) data for a relaxed VZn2Cu3 crystal, as listed in the Alexandria database.

Structure (POSCAR):
```
VZn2Cu3
1.0
2.642 0.000 0.000
0.000 2.642 0.000
0.000 0.000 11.092
Cu Zn V
3 2 1
direct
0.000 0.000 0.000
0.000 0.000 0.331
0.000 0.000 0.669
0.500 0.500 0.834
0.500 0.500 0.166
0.500 0.500 0.500
```

space group = No. 123
total magnetic moment = 0.0 μB/cell
crystal system = tetragonal
theoretical density = 8.0 g/cm3
E_tot = -24.1 eV per cell
formation energy from the elements = -0.020 eV per atom